Entry 1:
The following is a PBE calculation of crystalline NaBe2CdF8 at its relaxed geometry, from Alexandria via LeMat-Bulk.

Cell: 8.194 5.494 7.221 Å, 90.00 90.22 90.00°
Space group C2/m (No. 12)
Unique sites:
Na1 0.000 0.000 0.000 x2
Be1 0.130 0.500 0.255 x4
Cd1 0.000 0.000 0.500 x2
F1 0.026 0.262 0.259 x8
F2 0.228 0.500 0.072 x4
F3 0.237 0.500 0.436 x4

Properties
D(E_F) = 9.3 states/eV/f.u.
ΔE_f (raw) = -2.611 eV/atom

Entry 2:
The following is a PBE calculation of crystalline Rb2Be3Cd2F12 at its relaxed geometry, from Alexandria via LeMat-Bulk.

Cell: 10.602 10.602 10.602 Å, 90.00 90.00 90.00°
Space group P2_13 (No. 198)
Unique sites:
Rb1 0.057 0.057 0.057 x4
Rb2 0.204 0.704 0.796 x4
Be1 0.026 0.738 0.124 x12
Cd1 0.079 0.921 0.421 x4
Cd2 0.162 0.338 0.662 x4
F1 0.011 0.102 0.333 x12
F2 0.016 0.830 0.239 x12
F3 0.026 0.931 0.791 x12
F4 0.069 0.163 0.740 x12

Properties
D(E_F) = 0.0 states/eV/f.u.
ΔE_f (raw) = -2.879 eV/atom

Entry 3:
The following is a PBE calculation of crystalline RbBe2CdF8 at its relaxed geometry, from Alexandria via LeMat-Bulk.

Cell: 8.359 5.764 7.983 Å, 90.00 113.58 90.00°
Space group C2/m (No. 12)
Unique sites:
Rb1 0.000 0.000 0.000 x2
Be1 0.045 0.500 0.288 x4
Cd1 0.000 0.000 0.500 x2
F1 0.059 0.275 0.725 x8
F2 0.111 0.500 0.120 x4
F3 0.220 0.500 0.456 x4

Properties
ΔE_f (raw) = -2.646 eV/atom

Entry 4:
The following is a PBE calculation of crystalline Rb2BeCdF6 at its relaxed geometry, from Alexandria via LeMat-Bulk.

Cell: 5.836 5.836 8.273 Å, 90.00 90.00 90.00°
Space group I4/mmm (No. 139)
Unique sites:
Rb1 0.000 0.500 0.250 x4
Be1 0.000 0.000 0.000 x2
Cd1 0.000 0.000 0.500 x2
F1 0.000 0.000 0.223 x4
F2 0.222 0.222 0.000 x8

Properties
D(E_F) = 0.0 states/eV/f.u.
ΔE_f (raw) = -2.638 eV/atom

Entry 5:
The following is a PBE calculation of crystalline SrBe2CdF8 at its relaxed geometry, from Alexandria via LeMat-Bulk.

Cell: 8.096 5.451 7.789 Å, 90.00 92.13 90.00°
Space group C2/m (No. 12)
Unique sites:
Sr1 0.000 0.000 0.000 x2
Be1 0.125 0.500 0.263 x4
Cd1 0.000 0.000 0.500 x2
F1 0.016 0.260 0.265 x8
F2 0.211 0.500 0.087 x4
F3 0.235 0.500 0.429 x4

Properties
D(E_F) = 0.0 states/eV/f.u.
ΔE_f (raw) = -3.168 eV/atom

Entry 6:
The following is a PBE calculation of crystalline SrBeCd2F at its relaxed geometry, from Alexandria via LeMat-Bulk.

Cell: 6.651 6.651 4.493 Å, 90.00 90.00 90.00°
Space group P4/mmm (No. 123)
Unique sites:
Sr1 0.000 0.000 0.000 x1
Be1 0.500 0.500 0.500 x1
Cd1 0.000 0.500 0.000 x2
F1 0.000 0.000 0.500 x1

Properties
D(E_F) = 4.1 states/eV/f.u.
ΔE_f (raw) = -0.163 eV/atom